1.
# SrNbOsRu2

A relaxed SrNbOsRu2 crystal (PBE, the Alexandria database).

Cell: 4.6677 4.6677 5.3404 Å, 90.00 90.00 90.00°
Closest atoms and distances in Å follow each position.
Space group P4/mmm (No. 123)
One atom of each set of equivalent atoms:
Sr: 0.0000 0.0000 0.0000 x1  2 Nb 2.67
Nb: 0.0000 0.0000 0.5000 x1  4 Ru 2.33
Os: 0.5000 0.5000 0.0000 x1  4 Sr 3.30, 8 Ru 3.55
Ru: 0.0000 0.5000 0.5000 x2  2 Nb 2.33

Values from the calculation:
The uncorrected energy is -6.266 eV/atom. The calculation puts the total magnetization at 2.90 μB per formula unit. The calculation puts the formation energy at 2.0403 eV/atom.



2.
# Sr2NbOsRu

A relaxed Sr2NbOsRu crystal (PBE, the Alexandria database).

Cell: 5.9060 5.9060 4.5097 Å, 90.00 90.00 90.00°
Closest atoms and distances in Å follow each position.
Space group P4/mmm (No. 123)
One atom of each set of equivalent atoms:
Sr: 0.0000 0.5000 0.0000 x2  2 Nb 2.95
Nb: 0.0000 0.0000 0.0000 x1  2 Ru 2.25
Os: 0.5000 0.5000 0.5000 x1  8 Sr 3.72
Ru: 0.0000 0.0000 0.5000 x1  2 Nb 2.25

Values from the calculation:
The uncorrected energy is -4.952 eV/atom. The calculation puts the total magnetization at 2.07 μB per formula unit. The calculation puts the formation energy at 1.8357 eV/atom.



3.
# TbNbOsRu

A relaxed TbNbOsRu crystal (PBE, the Alexandria database).

Cell: 6.5737 6.5737 6.5737 Å, 90.00 90.00 90.00°
Closest atoms and distances in Å follow each position.
Space group F-43m (No. 216)
One atom of each set of equivalent atoms:
Tb: 0.0000 0.0000 0.0000 x4  4 Ru 2.85, 4 Os 2.85
Nb: 0.0000 0.0000 0.5000 x4  4 Os 2.85, 4 Ru 2.85
Os: 0.2500 0.2500 0.7500 x4  4 Tb 2.85, 4 Nb 2.85
Ru: 0.2500 0.2500 0.2500 x4  4 Tb 2.85, 4 Nb 2.85

Values from the calculation:
The uncorrected energy is -8.992 eV/atom. The calculation puts the total magnetization at 0.00 μB per formula unit. The calculation puts the formation energy at -0.1904 eV/atom.



4.
# NbTcOs2Ru

A relaxed NbTcOs2Ru crystal (PBE, the Alexandria database).

Cell: 4.6228 4.6228 4.5418 Å, 90.00 90.00 90.00°
Closest atoms and distances in Å follow each position.
Space group P4/mmm (No. 123)
One atom of each set of equivalent atoms:
Nb: 0.0000 0.0000 0.0000 x1  8 Os 3.24, 4 Tc 3.27
Tc: 0.5000 0.5000 0.0000 x1  2 Ru 2.27
Os: 0.0000 0.5000 0.5000 x2  2 Ru 2.31
Ru: 0.5000 0.5000 0.5000 x1  2 Tc 2.27, 4 Os 2.31

Values from the calculation:
The uncorrected energy is -8.507 eV/atom. The calculation puts the total magnetization at 0.00 μB per formula unit. The calculation puts the formation energy at 1.9274 eV/atom.



5.
# Ti5Nb2Os2Ru

A relaxed Ti5Nb2Os2Ru crystal (PBE, the Alexandria database).

Cell: 10.5585 10.5585 3.0452 Å, 90.00 90.00 90.00°
Closest atoms and distances in Å follow each position.
Space group P4/mbm (No. 127)
One atom of each set of equivalent atoms:
Ti: 0.0000 0.5000 0.0000 x2  4 Os 2.58
Ti: 0.0428 0.1948 0.0000 x8  2 Os 2.53, 2 Ru 2.60
Nb: 0.1820 0.6820 0.5000 x4  1 Os 2.67
Os: 0.1394 0.3606 0.5000 x4  6 Ti 2.53-2.58, 1 Nb 2.67
Ru: 0.0000 0.0000 0.5000 x2  8 Ti 2.60

Values from the calculation:
The uncorrected energy is -9.326 eV/atom. The calculation puts the total magnetization at 0.00 μB per formula unit. The calculation puts the formation energy at -0.1909 eV/atom.



6.
# NbVOsRu

A relaxed NbVOsRu crystal (PBE, the Alexandria database).

Cell: 6.2271 6.2271 6.2271 Å, 90.00 90.00 90.00°
Closest atoms and distances in Å follow each position.
Space group F-43m (No. 216)
One atom of each set of equivalent atoms:
Nb: 0.0000 0.0000 0.0000 x4  4 Ru 2.70, 4 Os 2.70
V: 0.0000 0.0000 0.5000 x4  4 Ru 2.70, 4 Os 2.70
Os: 0.2500 0.2500 0.2500 x4  4 Nb 2.70, 4 V 2.70
Ru: 0.2500 0.2500 0.7500 x4  4 Nb 2.70, 4 V 2.70

Values from the calculation:
The uncorrected energy is -10.077 eV/atom. The calculation puts the total magnetization at 1.05 μB per formula unit. The calculation puts the formation energy at -0.1534 eV/atom.



7.
# NbOsS3

A relaxed NbOsS3 crystal (PBE, the Alexandria database).

Cell: 4.5869 4.5869 4.5869 Å, 90.00 90.00 90.00°
Closest atoms and distances in Å follow each position.
Space group Pm-3m (No. 221)
One atom of each set of equivalent atoms:
Nb: 0.0000 0.0000 0.0000 x1  12 S 3.24
Os: 0.5000 0.5000 0.5000 x1  6 S 2.29
S: 0.0000 0.5000 0.5000 x3  2 Os 2.29

Values from the calculation:
The uncorrected energy is -6.000 eV/atom. Its distance to the lowest polymorph of the same formula is 0.000 eV/atom. The calculation puts the energy relative to the elements, uncorrected at 0.7367 eV per atom. The calculation puts the total magnetization at 1.45 μB per formula unit.



8.
# NbOsS2

A relaxed NbOsS2 crystal (PBE, the Alexandria database).

Cell: 5.4865 5.4865 10.2053 Å, 90.00 90.00 90.00°
Closest atoms and distances in Å follow each position.
Space group I-42d (No. 122)
One atom of each set of equivalent atoms:
Nb: 0.0000 0.0000 0.0000 x4  4 S 2.40
Os: 0.0000 0.0000 0.5000 x4  4 S 2.25
S: 0.2276 0.2500 0.6250 x8  2 Os 2.25, 2 Nb 2.40

Values from the calculation:
The uncorrected energy is -7.437 eV/atom. Its distance to the lowest polymorph of the same formula is 0.207 eV/atom. The calculation puts the energy relative to the elements, uncorrected at -0.0486 eV per atom. The calculation puts the total magnetization at 0.00 μB per formula unit.



Question: uncorrected energy of number 3 (TbNbOsRu)?
Answer: -8.992 eV/atom